[1]
# Np3Ga5Se12

Np3Ga5Se12 after structural relaxation (GGA-PBE, Alexandria via LeMat-Bulk).

Computed properties:
DOS(E_F), states/eV/f.u.: 25.65
Formation energy (no corrections), eV per atom: -0.738

Unit cell a=13.809 b=13.809 c=13.809 alpha=109.47 beta=109.47 gamma=109.47
Element x y z (fractional)
1 Np 0.125 0.250 0.375
2 Np 0.125 0.375 0.750
3 Np 0.250 0.375 0.125
4 Np 0.250 0.875 0.625
5 Np 0.375 0.125 0.250
6 Np 0.375 0.750 0.125
7 Np 0.625 0.250 0.875
8 Np 0.625 0.875 0.750
9 Np 0.750 0.125 0.375
10 Np 0.750 0.625 0.875
11 Np 0.875 0.625 0.250
12 Np 0.875 0.750 0.625
13 Ga 0.000 0.000 0.000
14 Ga 0.000 0.000 0.500
15 Ga 0.000 0.500 0.000
16 Ga 0.000 0.500 0.500
17 Ga 0.125 0.750 0.875
18 Ga 0.125 0.875 0.250
19 Ga 0.250 0.125 0.875
20 Ga 0.250 0.625 0.375
21 Ga 0.375 0.250 0.625
22 Ga 0.375 0.625 0.750
23 Ga 0.500 0.000 0.000
24 Ga 0.500 0.000 0.500
25 Ga 0.500 0.500 0.000
26 Ga 0.500 0.500 0.500
27 Ga 0.625 0.375 0.250
28 Ga 0.625 0.750 0.375
29 Ga 0.750 0.375 0.625
30 Ga 0.750 0.875 0.125
31 Ga 0.875 0.125 0.750
32 Ga 0.875 0.250 0.125
33 Se 0.037 0.214 0.127
34 Se 0.037 0.323 0.911
35 Se 0.087 0.714 0.677
36 Se 0.087 0.873 0.411
37 Se 0.089 0.627 0.413
38 Se 0.089 0.963 0.677
39 Se 0.127 0.037 0.214
40 Se 0.127 0.589 0.913
41 Se 0.177 0.214 0.587
42 Se 0.177 0.463 0.589
43 Se 0.214 0.127 0.037
44 Se 0.214 0.587 0.177
45 Se 0.286 0.323 0.913
46 Se 0.286 0.463 0.373
47 Se 0.323 0.911 0.037
48 Se 0.323 0.913 0.286
49 Se 0.373 0.286 0.463
50 Se 0.373 0.587 0.911
51 Se 0.411 0.087 0.873
52 Se 0.411 0.823 0.537
53 Se 0.413 0.089 0.627
54 Se 0.413 0.823 0.786
55 Se 0.463 0.373 0.286
56 Se 0.463 0.589 0.177
57 Se 0.537 0.411 0.823
58 Se 0.537 0.627 0.714
59 Se 0.587 0.177 0.214
60 Se 0.587 0.911 0.373
61 Se 0.589 0.177 0.463
62 Se 0.589 0.913 0.127
63 Se 0.627 0.413 0.089
64 Se 0.627 0.714 0.537
65 Se 0.677 0.087 0.714
66 Se 0.677 0.089 0.963
67 Se 0.714 0.537 0.627
68 Se 0.714 0.677 0.087
69 Se 0.786 0.413 0.823
70 Se 0.786 0.873 0.963
71 Se 0.823 0.537 0.411
72 Se 0.823 0.786 0.413
73 Se 0.873 0.411 0.087
74 Se 0.873 0.963 0.786
75 Se 0.911 0.037 0.323
76 Se 0.911 0.373 0.587
77 Se 0.913 0.127 0.589
78 Se 0.913 0.286 0.323
79 Se 0.963 0.677 0.089
80 Se 0.963 0.786 0.873



[2]
# NaAcAgAu

NaAcAgAu after structural relaxation (GGA-PBE, Alexandria via LeMat-Bulk).

Computed properties:
Energy of formation, meV/atom: -370
DOS(E_F), states/eV/f.u.: 2.92

Unit cell a=7.561 b=7.561 c=7.561 alpha=90.00 beta=90.00 gamma=90.00
Element x y z (fractional)
1 Na 0.000 0.000 0.000
2 Na 0.000 0.500 0.500
3 Na 0.500 0.000 0.500
4 Na 0.500 0.500 0.000
5 Ac 0.000 0.000 0.500
6 Ac 0.000 0.500 0.000
7 Ac 0.500 0.000 0.000
8 Ac 0.500 0.500 0.500
9 Ag 0.250 0.250 0.750
10 Ag 0.250 0.750 0.250
11 Ag 0.750 0.250 0.250
12 Ag 0.750 0.750 0.750
13 Au 0.250 0.250 0.250
14 Au 0.250 0.750 0.750
15 Au 0.750 0.250 0.750
16 Au 0.750 0.750 0.250



[3]
# MgTaTc2Te

MgTaTc2Te after structural relaxation (GGA-PBE, Alexandria via LeMat-Bulk).

Computed properties:
DOS(E_F), states/eV/f.u.: 5.07
Formation energy (no corrections), eV per atom: 1.333

Unit cell a=4.751 b=4.751 c=5.214 alpha=90.00 beta=90.00 gamma=90.00
Element x y z (fractional)
1 Mg 0.000 0.000 0.000
2 Ta 0.000 0.000 0.500
3 Tc 0.000 0.500 0.500
4 Tc 0.500 0.000 0.500
5 Te 0.500 0.500 0.000



[4]
# TiSiSe3

TiSiSe3 after structural relaxation (GGA-PBE, Alexandria via LeMat-Bulk).

Computed properties:
DOS(E_F), states/eV/f.u.: 9.22
Formation energy (no corrections), eV per atom: 0.275

Unit cell a=4.769 b=4.769 c=4.769 alpha=90.00 beta=90.00 gamma=90.00
Element x y z (fractional)
1 Ti 0.000 0.000 0.000
2 Si 0.500 0.500 0.500
3 Se 0.000 0.500 0.500
4 Se 0.500 0.000 0.500
5 Se 0.500 0.500 0.000



Number 1: theoretical density 6577 kg/m3, spin magnetization 45.007 μB/cell, uncorrected energy -5.5264 eV per atom. Number 2: theoretical density 8527 kg/m3, spin magnetization 0.000 μB/cell, uncorrected energy -3.2587 eV per atom. Number 3: theoretical density 7462 kg/m3, spin magnetization 0.000 μB/cell, uncorrected energy -6.1315 eV per atom. Number 4: theoretical density 4790 kg/m3, spin magnetization 0.001 μB/cell, uncorrected energy -4.4796 eV per atom.